No. 1
CaScIr | the Alexandria database | PBE | relaxed; relative energy among the computed polymorphs = 0.1504 eV/atom; N(E_F) = 0.63 states/eV per atom; E_tot = -6.24 eV per atom; ΔH_f (0 K) = -504 meV/atom
1.0
-1.6496 1.6496 6.4064
1.6496 -1.6496 6.4064
1.6496 1.6496 -6.4064
Ca Sc Ir
1 1 1
direct
0.0000 0.0000 0.0000
0.2589 0.2589 0.0000
0.6523 0.6523 0.0000

No. 2
Ba2PmBi2 | the Alexandria database | PBE | relaxed; N(E_F) = 0.73 states/eV per atom; E_tot = -4.05 eV per atom; ΔH_f (0 K) = -775 meV/atom
1.0
-4.4823 7.0193 3.5770
4.4823 -7.0193 3.5770
4.4823 7.0193 -3.5770
Ba Pm Bi
4 2 4
direct
0.1463 0.1476 0.2939
0.3537 0.6476 0.0013
0.6463 0.3524 0.9987
0.8537 0.8524 0.7061
0.2500 0.7500 0.5000
0.7500 0.2500 0.5000
0.1092 0.7472 0.8565
0.3908 0.2472 0.6380
0.6092 0.7528 0.3620
0.8908 0.2528 0.1435